YBeIn after structural relaxation, computed with GGA-PBE.

The structure in POSCAR format:
```
YBeIn
1.0
-0.810 3.060 2.727
-6.216 0.075 -5.143
-1.014 -2.810 2.853
Y In Be
2 2 2
Cartesian
-5.768 2.527 -1.863
-2.800 -1.909 0.806
-3.929 1.060 0.336
-7.079 -0.375 -2.197
-4.733 -0.440 -1.421
-1.591 0.989 1.114
```

**SG**: No. 1
**Density of states at the Fermi level**: 2.536 states/eV/f.u.
**Crystal system**: triclinic
**Magnetization**: 0.000 μB per atom
**Energy**: -13.48 eV per formula unit